# 1
DFT (PBE-GGA) results for an optimized crystal structure of Cs2V3Te6.

Calculated values
ΔE_f (raw) (eV/atom): -0.520

a b c (Å): 6.919 6.829 9.440
angles (deg): 82.43 74.94 59.56
Last column: magnetic moment on the atom in μB.
Element x y z (fractional)
1 Cs 0.838 0.325 0.500  -0.01
2 Cs 0.162 0.675 0.500  -0.01
3 Te 0.399 0.679 0.822  -0.13
4 Te 0.714 0.000 0.842  -0.12
5 Te 0.922 0.679 0.178  -0.13
6 Te 0.078 0.321 0.822  -0.13
7 Te 0.601 0.321 0.178  -0.13
8 Te 0.286 0.000 0.158  -0.12
9 V 0.000 0.000 0.000  1.88
10 V 0.313 0.374 0.000  1.83
11 V 0.687 0.626 0.000  1.83



# 2
DFT (PBE-GGA) results for an optimized crystal structure of Nd3Ge2Ir3.

a b c (Å): 4.253 5.669 15.409
angles (deg): 90.00 90.00 112.03
Element x y z (fractional)
1 Nd 0.928 0.855 0.392
2 Nd 0.928 0.855 0.108
3 Nd 0.639 0.279 0.250
4 Nd 0.361 0.721 0.750
5 Nd 0.072 0.145 0.608
6 Nd 0.072 0.145 0.892
7 Ge 0.781 0.562 0.899
8 Ge 0.781 0.562 0.601
9 Ge 0.219 0.438 0.399
10 Ge 0.219 0.438 0.101
11 Ir 0.335 0.671 0.250
12 Ir 0.641 0.282 0.035
13 Ir 0.359 0.718 0.965
14 Ir 0.641 0.282 0.465
15 Ir 0.359 0.718 0.535
16 Ir 0.665 0.329 0.750



Per-record total energy, eV per atom: -4.8760, -6.9926
Per-record density of states at the Fermi level, states/eV/f.u.: 7.7, 5.0